--- one ---
Below is a relaxed structure of Pm3SmY6, with properties calculated at the PBE level.

Summary:
Calculated density: 5553 kg/m³
V: 33.46 Å³ per atom

Cell and atoms, written as POSCAR:
```
Pm3SmY6
1.0
6.413 0.000 0.000
0.000 10.845 -1.609
0.000 -3.988 10.213
Pm Sm Y
6 2 12
direct
0.458 0.936 0.709
0.958 0.709 0.936
0.069 0.387 0.613
0.569 0.613 0.387
0.958 0.064 0.291
0.458 0.291 0.064
0.140 0.195 0.805
0.640 0.805 0.195
0.047 0.711 0.622
0.547 0.622 0.711
0.371 0.530 0.946
0.871 0.946 0.530
0.367 0.959 0.041
0.658 0.270 0.730
0.158 0.730 0.270
0.867 0.041 0.959
0.371 0.054 0.470
0.871 0.470 0.054
0.047 0.378 0.289
0.547 0.289 0.378
```

=====

--- two ---
Below is a relaxed structure of Pm3SmY6, with properties calculated at the PBE level.

Summary:
Calculated density: 5535 kg/m³
V: 33.57 Å³ per atom

Cell and atoms, written as POSCAR:
```
Pm3SmY6
1.0
8.819 0.000 4.680
3.168 8.231 4.680
2.261 1.552 6.389
Pm Sm Y
3 1 6
direct
0.350 0.350 0.950
0.600 0.600 0.200
0.100 0.100 0.700
0.850 0.850 0.450
0.927 0.600 0.200
0.273 0.927 0.200
0.600 0.273 0.200
0.099 0.427 0.700
0.773 0.099 0.700
0.427 0.773 0.700
```

=====

Most stable structure - one; separation to the second - 117 meV per atom.